HfMg6Fe | Alexandria via LeMat-Bulk | PBE-GGA | optimized geometry; DOS(E_F) = 0.7503 states/eV/atom; final energy = -26.7 eV for the cell shown; SG = Amm2, No. 38; energy of formation = 161.8 meV/atom; ΔE to the lowest computed polymorph = 0.000 eV/atom
1.0
4.841 0.000 0.000
0.000 3.052 5.557
0.000 -3.052 5.557
Hf Mg Fe
1 6 1
direct
0.000 0.000 0.000
0.000 0.474 0.474
0.000 0.477 0.989
0.000 0.989 0.477
0.500 0.130 0.642
0.500 0.633 0.633
0.500 0.642 0.130
0.500 0.112 0.112